(1)
First-principles (GGA-PBE) data for an optimized crystal structure of Ba4Ga3Rh, as listed in Alexandria.

Output
magnetic moment = 0.0 μB per formula unit
raw total energy = -3.389 eV/atom
crystal system = orthorhombic

Unit cell a=5.028 b=4.533 c=12.052 alpha=90.00 beta=90.00 gamma=90.00
Element x y z (fractional)
Ga: 0.000 0.500 0.553
Ga: 0.500 0.000 0.954
Ga: 0.000 0.000 0.442
Ba: 0.000 0.500 0.868
Ba: 0.000 0.000 0.145
Ba: 0.500 0.000 0.643
Ba: 0.500 0.500 0.350
Rh: 0.500 0.500 0.045

---

(2)
First-principles (GGA-PBE) data for an optimized crystal structure of Na2MnNiRu, as listed in Alexandria.

Output
E above lowest polymorph = 204.0 meV/atom
magnetic moment = 7.0 μB per formula unit
crystal system = tetragonal

Unit cell a=5.088 b=4.385 c=5.088 alpha=90.00 beta=90.00 gamma=90.00
Each line ends with the local moment (μB).
Element x y z (fractional)
Na: 0.000 0.000 0.500  -0.01
Na: 0.500 0.000 0.000  0.00
Ni: 0.000 0.500 0.000  0.72
Ru: 0.500 0.500 0.500  2.32
Mn: 0.000 0.000 0.000  3.77

---

(3)
First-principles (GGA-PBE) data for an optimized crystal structure of Tl4In5Hg3, as listed in Alexandria.

Output
magnetic moment = 0.0 μB per formula unit
raw total energy = -1.972 eV/atom
crystal system = monoclinic

Unit cell a=6.086 b=7.256 c=8.888 alpha=95.52 beta=90.00 gamma=114.79
Element x y z (fractional)
Hg: 0.653 0.305 0.784
Hg: 0.347 0.695 0.216
Hg: 0.000 0.000 0.500
In: 0.744 0.488 0.437
In: 0.500 0.000 0.500
In: 0.256 0.512 0.563
In: 0.123 0.247 0.240
In: 0.877 0.753 0.760
Tl: 0.124 0.248 0.875
Tl: 0.405 0.811 0.869
Tl: 0.876 0.752 0.125
Tl: 0.595 0.189 0.131

---

(4)
First-principles (GGA-PBE) data for an optimized crystal structure of La4Ge2Br5, as listed in Alexandria.

Output
E above lowest polymorph = 0.0 meV/atom
magnetic moment = 0.0 μB per formula unit
crystal system = monoclinic
ΔE_f (raw) = -140.6 kJ per mole of atoms

Unit cell a=4.304 b=8.482 c=12.128 alpha=84.95 beta=100.22 gamma=90.00
Element x y z (fractional)
La: 0.990 0.279 0.981
La: 0.662 0.547 0.325
La: 0.010 0.721 0.019
La: 0.338 0.453 0.675
Ge: 0.449 0.532 0.899
Ge: 0.551 0.468 0.101
Br: 0.864 0.205 0.729
Br: 0.217 0.323 0.435
Br: 0.500 0.000 0.000
Br: 0.783 0.677 0.565
Br: 0.136 0.795 0.271

---

(5)
First-principles (GGA-PBE) data for an optimized crystal structure of CaLaGe2Pd5, as listed in Alexandria.

Output
magnetic moment = 0.0 μB per formula unit
raw total energy = -5.441 eV/atom
crystal system = tetragonal

Unit cell a=4.338 b=4.338 c=9.135 alpha=90.00 beta=90.00 gamma=90.00
Element x y z (fractional)
Pd: 0.500 0.000 0.271
Pd: 0.500 0.000 0.729
Pd: 0.000 0.500 0.729
Pd: 0.000 0.500 0.271
Pd: 0.500 0.500 0.500
Ge: 0.500 0.500 0.862
Ge: 0.500 0.500 0.138
La: 0.000 0.000 0.500
Ca: 0.000 0.000 0.000

---

(6)
First-principles (GGA-PBE) data for an optimized crystal structure of KFeHgCl5, as listed in Alexandria.

Output
magnetic moment = 4.1 μB per formula unit
crystal system = monoclinic
ΔE_f (raw) = -95.7 kJ per mole of atoms

Unit cell a=7.578 b=7.578 c=9.506 alpha=102.74 beta=102.74 gamma=106.21
Each line ends with the local moment (μB).
Element x y z (fractional)
Fe: 0.679 0.321 0.250  3.52
Fe: 0.321 0.679 0.750  3.52
Cl: 0.338 0.907 0.629  0.09
Cl: 0.596 0.733 0.930  0.10
Cl: 0.921 0.079 0.750  -0.02
Cl: 0.907 0.338 0.129  0.09
Cl: 0.662 0.093 0.371  0.09
Cl: 0.079 0.921 0.250  -0.02
Cl: 0.404 0.267 0.070  0.10
Cl: 0.733 0.596 0.430  0.10
Cl: 0.267 0.404 0.570  0.10
Cl: 0.093 0.662 0.871  0.09
K: 0.343 0.657 0.250  0.00
K: 0.657 0.343 0.750  0.00
Hg: 0.000 0.000 0.000  -0.09
Hg: 0.000 0.000 0.500  -0.09

---

(7)
First-principles (GGA-PBE) data for an optimized crystal structure of TlCrRe2, as listed in Alexandria.

Output
E above lowest polymorph = 114.9 meV/atom
magnetic moment = 0.0 μB per formula unit
crystal system = tetragonal

Unit cell a=2.907 b=2.907 c=7.621 alpha=90.00 beta=90.00 gamma=90.00
Element x y z (fractional)
Re: 0.000 0.000 0.549
Re: 0.000 0.000 0.951
Cr: 0.500 0.500 0.750
Tl: 0.500 0.500 0.250

---

(8)
First-principles (GGA-PBE) data for an optimized crystal structure of Rb3AlRu, as listed in Alexandria.

Output
E above lowest polymorph = 0.0 meV/atom
magnetic moment = 0.0 μB per formula unit
crystal system = cubic

Unit cell a=6.034 b=6.034 c=6.034 alpha=90.00 beta=90.00 gamma=90.00
Element x y z (fractional)
Rb: 0.000 0.500 0.000
Rb: 0.000 0.000 0.500
Rb: 0.500 0.000 0.000
Al: 0.500 0.500 0.500
Ru: 0.000 0.000 0.000

---

(9)
First-principles (GGA-PBE) data for an optimized crystal structure of Tc2Se, as listed in Alexandria.

Output
E above lowest polymorph = 533.4 meV/atom
magnetic moment = 0.0 μB per formula unit
crystal system = orthorhombic
ΔE_f (raw) = 42.0 kJ per mole of atoms

Unit cell a=10.445 b=10.445 c=10.445 alpha=163.52 beta=162.16 gamma=24.38
Element x y z (fractional)
Tc: 0.553 0.803 0.750
Tc: 0.447 0.197 0.250
Tc: 0.709 0.959 0.750
Tc: 0.291 0.041 0.250
Se: 0.116 0.366 0.750
Se: 0.884 0.634 0.250

---

(10)
First-principles (GGA-PBE) data for an optimized crystal structure of YBi2SeCl, as listed in Alexandria.

Output
magnetic moment = 0.0 μB per formula unit
crystal system = tetragonal
ΔE_f (raw) = 11.6 kJ per mole of atoms

Unit cell a=5.366 b=5.243 c=5.366 alpha=90.00 beta=90.00 gamma=90.00
Element x y z (fractional)
Bi: 0.500 0.000 0.000
Bi: 0.000 0.000 0.500
Se: 0.000 0.500 0.000
Y: 0.500 0.500 0.500
Cl: 0.000 0.000 0.000

---

(11)
First-principles (GGA-PBE) data for an optimized crystal structure of SrBi2Pt2, as listed in Alexandria.

Output
magnetic moment = 0.0 μB per formula unit
raw total energy = -4.575 eV/atom
crystal system = tetragonal

Unit cell a=8.473 b=8.473 c=3.425 alpha=90.00 beta=90.00 gamma=90.00
Element x y z (fractional)
Sr: 0.000 0.000 0.000
Sr: 0.500 0.500 0.000
Bi: 0.862 0.638 0.000
Bi: 0.638 0.138 0.000
Bi: 0.138 0.362 0.000
Bi: 0.362 0.862 0.000
Pt: 0.340 0.160 0.500
Pt: 0.160 0.660 0.500
Pt: 0.660 0.840 0.500
Pt: 0.840 0.340 0.500

---

(12)
First-principles (GGA-PBE) data for an optimized crystal structure of PaInTcRh, as listed in Alexandria.

Output
E above lowest polymorph = 0.0 meV/atom
magnetic moment = 0.0 μB per formula unit
crystal system = orthorhombic

Unit cell a=3.654 b=4.289 c=4.744 alpha=90.00 beta=90.00 gamma=90.00
Element x y z (fractional)
In: 0.000 0.000 0.000
Pa: 0.000 0.500 0.500
Tc: 0.500 0.000 0.500
Rh: 0.500 0.500 0.000

---

(13)
First-principles (GGA-PBE) data for an optimized crystal structure of LiHoIrAu, as listed in Alexandria.

Output
magnetic moment = 0.0 μB per formula unit
raw total energy = -5.189 eV/atom
crystal system = cubic

Unit cell a=4.699 b=4.699 c=4.699 alpha=60.00 beta=60.00 gamma=60.00
Element x y z (fractional)
Li: 0.250 0.250 0.250
Ho: 0.750 0.750 0.750
Au: 0.000 0.000 0.000
Ir: 0.500 0.500 0.500

---

(14)
First-principles (GGA-PBE) data for an optimized crystal structure of Na2LaAu2, as listed in Alexandria.

Output
E above lowest polymorph = 22.9 meV/atom
magnetic moment = 0.5 μB per formula unit
crystal system = tetragonal

Unit cell a=8.510 b=8.510 c=3.245 alpha=90.00 beta=90.00 gamma=90.00
Each line ends with the local moment (μB).
Element x y z (fractional)
Na: 0.387 0.887 0.000  0.00
Na: 0.113 0.387 0.000  0.00
Na: 0.613 0.113 0.000  0.00
Na: 0.887 0.613 0.000  0.00
Au: 0.186 0.686 0.500  0.00
Au: 0.686 0.814 0.500  0.01
Au: 0.314 0.186 0.500  0.01
Au: 0.814 0.314 0.500  0.00
La: 0.000 0.000 0.000  0.24
La: 0.500 0.500 0.000  0.24

---

(15)
First-principles (GGA-PBE) data for an optimized crystal structure of CrSn3Sb, as listed in Alexandria.

Output
E above lowest polymorph = 0.0 meV/atom
magnetic moment = 2.8 μB per formula unit
crystal system = cubic
ΔE_f (raw) = 30.9 kJ per mole of atoms

Unit cell a=5.148 b=5.148 c=5.148 alpha=90.00 beta=90.00 gamma=90.00
Each line ends with the local moment (μB).
Element x y z (fractional)
Cr: 0.000 0.000 0.000  2.19
Sn: 0.500 0.000 0.000  -0.10
Sn: 0.000 0.000 0.500  -0.02
Sn: 0.000 0.500 0.000  -0.06
Sb: 0.500 0.500 0.500  0.31

---

(16)
First-principles (GGA-PBE) data for an optimized crystal structure of Mg2TeMo, as listed in Alexandria.

Output
magnetic moment = 1.9 μB per formula unit
crystal system = cubic
ΔE_f (raw) = 39.3 kJ per mole of atoms

Unit cell a=4.848 b=4.848 c=4.848 alpha=60.00 beta=60.00 gamma=60.00
Each line ends with the local moment (μB).
Element x y z (fractional)
Mo: 0.500 0.500 0.500  1.47
Mg: 0.000 0.000 0.000  -0.01
Mg: 0.250 0.250 0.250  0.01
Te: 0.750 0.750 0.750  -0.02

---

(17)
First-principles (GGA-PBE) data for an optimized crystal structure of MnSb2Pd8, as listed in Alexandria.

Output
E above lowest polymorph = 66.3 meV/atom
magnetic moment = 4.5 μB per formula unit
crystal system = monoclinic
ΔE_f (raw) = -23.8 kJ per mole of atoms

Unit cell a=4.550 b=7.102 c=7.102 alpha=116.79 beta=101.00 gamma=101.00
Each line ends with the local moment (μB).
Element x y z (fractional)
Mn: 0.500 0.000 0.000  4.04
Pd: 0.500 0.215 0.785  0.05
Pd: 0.891 0.688 0.917  0.03
Pd: 0.500 0.785 0.215  0.05
Pd: 0.109 0.312 0.083  0.03
Pd: 0.109 0.083 0.312  0.03
Pd: 0.891 0.917 0.688  0.03
Pd: 0.324 0.622 0.622  0.06
Pd: 0.676 0.378 0.378  0.06
Sb: 0.000 0.315 0.685  -0.01
Sb: 0.000 0.685 0.315  -0.01

---

(18)
First-principles (GGA-PBE) data for an optimized crystal structure of Sm7Er2Tm2, as listed in Alexandria.

Output
E above lowest polymorph = 0.0 meV/atom
magnetic moment = 0.0 μB per formula unit
crystal system = monoclinic

Unit cell a=6.084 b=8.680 c=8.680 alpha=82.58 beta=63.15 gamma=63.15
Element x y z (fractional)
Er: 0.500 0.215 0.785
Er: 0.500 0.785 0.215
Sm: 0.000 0.000 0.000
Sm: 0.640 0.581 0.581
Sm: 0.360 0.419 0.419
Sm: 0.178 0.586 0.055
Sm: 0.178 0.055 0.586
Sm: 0.822 0.945 0.414
Sm: 0.822 0.414 0.945
Tm: 0.124 0.229 0.229
Tm: 0.876 0.771 0.771

---

(19)
First-principles (GGA-PBE) data for an optimized crystal structure of Er6SnTe3P2, as listed in Alexandria.

Output
magnetic moment = 0.0 μB per formula unit
crystal system = monoclinic
ΔE_f (raw) = -128.3 kJ per mole of atoms

Unit cell a=4.161 b=8.558 c=9.483 alpha=104.19 beta=102.67 gamma=90.00
Element x y z (fractional)
Er: 0.013 0.251 0.025
Er: 0.667 0.117 0.334
Er: 0.333 0.883 0.666
Er: 0.987 0.749 0.975
Er: 0.323 0.436 0.646
Er: 0.677 0.564 0.354
Te: 0.500 0.500 0.000
Te: 0.836 0.167 0.672
Te: 0.164 0.833 0.328
Sn: 0.500 0.000 0.000
P: 0.169 0.339 0.338
P: 0.831 0.661 0.662

---

(20)
First-principles (GGA-PBE) data for an optimized crystal structure of Mg4Ag3, as listed in Alexandria.

Output
magnetic moment = 0.0 μB per formula unit
raw total energy = -2.240 eV/atom
crystal system = hexagonal

Unit cell a=5.506 b=5.506 c=5.408 alpha=90.00 beta=90.00 gamma=120.00
Element x y z (fractional)
Mg: 0.000 0.000 0.751
Mg: 0.000 0.000 0.249
Mg: 0.333 0.667 0.500
Mg: 0.667 0.333 0.500
Ag: 0.500 0.000 0.000
Ag: 0.500 0.500 0.000
Ag: 0.000 0.500 0.000

---

(21)
First-principles (GGA-PBE) data for an optimized crystal structure of Ca3MgSn, as listed in Alexandria.

Output
E above lowest polymorph = 0.0 meV/atom
magnetic moment = 0.0 μB per formula unit
crystal system = monoclinic

Unit cell a=7.158 b=8.519 c=10.615 alpha=71.85 beta=90.00 gamma=90.00
Element x y z (fractional)
Mg: 0.751 0.985 0.504
Mg: 0.749 0.985 0.004
Mg: 0.249 0.015 0.496
Mg: 0.251 0.015 0.996
Ca: 0.008 0.220 0.194
Ca: 0.508 0.781 0.804
Ca: 0.749 0.398 0.900
Ca: 0.249 0.602 0.600
Ca: 0.508 0.780 0.306
Ca: 0.992 0.780 0.806
Ca: 0.751 0.398 0.400
Ca: 0.492 0.220 0.694
Ca: 0.008 0.219 0.696
Ca: 0.251 0.602 0.100
Ca: 0.492 0.219 0.196
Ca: 0.992 0.781 0.304
Sn: 0.250 0.391 0.902
Sn: 0.250 0.391 0.402
Sn: 0.750 0.609 0.598
Sn: 0.750 0.609 0.098

---

(22)
First-principles (GGA-PBE) data for an optimized crystal structure of Sr3BeBr, as listed in Alexandria.

Output
E above lowest polymorph = 0.0 meV/atom
magnetic moment = 0.0 μB per formula unit
crystal system = cubic
ΔE_f (raw) = -12.8 kJ per mole of atoms

Unit cell a=5.999 b=5.999 c=5.999 alpha=90.00 beta=90.00 gamma=90.00
Element x y z (fractional)
Sr: 0.000 0.000 0.500
Sr: 0.000 0.500 0.000
Sr: 0.500 0.000 0.000
Be: 0.000 0.000 0.000
Br: 0.500 0.500 0.500

---

(23)
First-principles (GGA-PBE) data for an optimized crystal structure of Si2AsPtN, as listed in Alexandria.

Output
magnetic moment = 0.0 μB per formula unit
crystal system = tetragonal
ΔE_f (raw) = 61.4 kJ per mole of atoms

Unit cell a=4.116 b=4.304 c=4.116 alpha=90.00 beta=90.00 gamma=90.00
Element x y z (fractional)
Si: 0.000 0.000 0.500
Si: 0.500 0.000 0.000
Pt: 0.000 0.500 0.000
N: 0.000 0.000 0.000
As: 0.500 0.500 0.500

---

(24)
First-principles (GGA-PBE) data for an optimized crystal structure of SrMgGa2Ru, as listed in Alexandria.

Output
magnetic moment = 0.0 μB per formula unit
raw total energy = -4.053 eV/atom
crystal system = tetragonal

Unit cell a=4.848 b=4.848 c=4.975 alpha=90.00 beta=90.00 gamma=90.00
Element x y z (fractional)
Sr: 0.500 0.500 0.500
Ga: 0.500 0.000 0.000
Ga: 0.000 0.500 0.000
Mg: 0.000 0.000 0.500
Ru: 0.000 0.000 0.000